## TiFeO3 (PBE+U)

Data for a relaxed structure of TiFeO3.

Calculated values
Mass density (g/cm³): 4.6
Final energy (eV per atom): -8.08
Fermi-level density of states (states/eV/cell): 0.00

abc: 5.1702 5.1702 14.1010
angles: 90.00 90.00 120.00
Space group R-3 (No. 148, hexagonal axes)
One atom of each set of equivalent atoms:
Ti  0.0000  0.0000  0.1463
Fe  0.0000  0.0000  0.3555
O  0.0124  0.6402  0.4210